ThInGaCl6: relaxed, PBE.

Values from the calculation:
- Space-group type: P-31c, No. 163
- Energy relative to the elements, uncorrected: -1.57 eV/atom
- DOS at the Fermi energy: 0.0 states/eV per cell

Unit cell a=7.558 b=7.558 c=13.164 alpha=90.00 beta=90.00 gamma=120.00
Fractional coordinates of all 18 atoms:
Ga: 0.667 0.333 0.750
Th: 0.667 0.333 0.250
Cl: 0.968 0.345 0.135
Ga: 0.333 0.667 0.250
In: 0.000 0.000 0.500
Cl: 0.345 0.968 0.635
Cl: 0.623 0.968 0.865
Cl: 0.032 0.377 0.635
Cl: 0.377 0.032 0.135
Cl: 0.623 0.655 0.635
In: 0.000 0.000 0.000
Cl: 0.655 0.623 0.135
Cl: 0.655 0.032 0.365
Cl: 0.968 0.623 0.365
Cl: 0.345 0.377 0.865
Cl: 0.032 0.655 0.865
Th: 0.333 0.667 0.750
Cl: 0.377 0.345 0.365

Ce2Nd3Tm6Th: relaxed, PBE.

Values from the calculation:
- Space-group type: C2/m, No. 12
- Formation enthalpy at 0 K: 0.039 eV per atom
- DOS at the Fermi energy: 20.0 states/eV per cell

Unit cell a=6.143 b=6.143 c=11.624 alpha=95.07 beta=95.07 gamma=119.99
Fractional coordinates of all 12 atoms:
Tm: 0.586 0.918 0.756
Nd: 0.167 0.833 0.500
Tm: 0.082 0.414 0.244
Th: 0.000 0.000 0.000
Tm: 0.250 0.250 0.756
Tm: 0.414 0.082 0.244
Ce: 0.667 0.333 0.000
Ce: 0.333 0.667 0.000
Nd: 0.833 0.167 0.500
Tm: 0.918 0.586 0.756
Nd: 0.500 0.500 0.500
Tm: 0.750 0.750 0.244

Rb2NdThS4: relaxed, PBE.

Values from the calculation:
- Space-group type: P2/m, No. 10
- Energy relative to the elements, uncorrected: -1.74 eV/atom
- DOS at the Fermi energy: 4.2 states/eV per cell

Unit cell a=4.186 b=7.230 c=8.119 alpha=107.25 beta=90.00 gamma=90.00
Fractional coordinates of all 8 atoms:
Rb: 0.000 0.500 0.500
Th: 0.500 0.500 0.000
S: 0.000 0.272 0.800
Rb: 0.500 0.000 0.500
S: 0.500 0.240 0.201
S: 0.000 0.728 0.200
S: 0.500 0.760 0.799
Nd: 0.000 0.000 0.000

SrYP2: relaxed, PBE.

Values from the calculation:
- Space-group type: P4/mmm, No. 123
- Energy above the most stable polymorph in this dataset: 336 meV per atom
- Formation enthalpy at 0 K: -0.825 eV per atom
- DOS at the Fermi energy: 2.4 states/eV per cell

Unit cell a=5.003 b=5.003 c=3.698 alpha=90.00 beta=90.00 gamma=90.00
Fractional coordinates of all 4 atoms:
P: 0.500 0.500 0.000
P: 0.000 0.000 0.000
Y: 0.000 0.500 0.500
Sr: 0.500 0.000 0.500

Dy2Ho8Th3: relaxed, PBE.

Values from the calculation:
- Space-group type: C2/m, No. 12
- Energy above the most stable polymorph in this dataset: 0 meV per atom
- Formation enthalpy at 0 K: 0.274 eV per atom
- DOS at the Fermi energy: 22.0 states/eV per cell

Unit cell a=5.544 b=7.844 c=10.672 alpha=111.56 beta=90.07 gamma=90.00
Fractional coordinates of all 13 atoms:
Th: 0.000 0.296 0.000
Ho: 0.001 0.871 0.743
Ho: 0.500 0.812 0.215
Ho: 0.001 0.670 0.340
Ho: 0.500 0.597 0.785
Ho: 0.999 0.129 0.257
Ho: 0.999 0.330 0.660
Th: 0.000 0.704 0.000
Dy: 0.498 0.239 0.477
Ho: 0.500 0.188 0.785
Dy: 0.502 0.761 0.523
Th: 0.500 0.000 0.000
Ho: 0.500 0.403 0.215